An optimized crystal structure of YInTeO6, computed with PBE-GGA.

As for the uncorrected formation energy: -1.922 eV/atom. The value obtained for the density of states at the Fermi level is 0.0000 states/eV per atom. The calculation puts the total energy at -6.599 eV/atom. The space-group type is P-31c.

Cell: 5.411 5.411 9.675 Å, 90.00 90.00 120.00°
Fractional positions:
Y 0.000 0.000 0.000
Y 0.000 0.000 0.500
In 0.333 0.667 0.250
In 0.667 0.333 0.750
Te 0.667 0.333 0.250
Te 0.333 0.667 0.750
O 0.663 0.630 0.136
O 0.967 0.337 0.136
O 0.337 0.967 0.636
O 0.033 0.663 0.864
O 0.370 0.337 0.364
O 0.967 0.630 0.364
O 0.630 0.967 0.864
O 0.663 0.033 0.364
O 0.033 0.370 0.636
O 0.370 0.033 0.136
O 0.630 0.663 0.636
O 0.337 0.370 0.864

***

An optimized crystal structure of Tc2GeAu2, computed with PBE-GGA.

The value obtained for the density of states at the Fermi level is 0.9445 states/eV per atom. The calculation puts the total energy at -5.773 eV/atom. The space-group type is I4/mmm. The energy above the most stable polymorph in this dataset is 385 meV/atom.

Cell: 3.697 3.697 7.144 Å, 75.00 75.00 90.00°
Last column: magnetic moment on the atom in μB.
Fractional positions:
Ge 0.000 0.000 0.000  0.01
Au 0.750 0.250 0.500  0.00
Au 0.250 0.750 0.500  0.00
Tc 0.414 0.414 0.172  0.21
Tc 0.586 0.586 0.828  0.21

***

An optimized crystal structure of PrYZnAu, computed with PBE-GGA.

The value obtained for the density of states at the Fermi level is 0.5969 states/eV per atom. The calculation puts the total energy at -4.494 eV/atom. The space-group type is F-43m. The energy above the most stable polymorph in this dataset is 20 meV/atom.

Cell: 5.190 5.190 5.190 Å, 60.00 60.00 60.00°
Fractional positions:
Pr 0.250 0.250 0.250
Y 0.750 0.750 0.750
Zn 0.000 0.000 0.000
Au 0.500 0.500 0.500

***

An optimized crystal structure of Ac7Al2Au2, computed with PBE-GGA.

The value obtained for the density of states at the Fermi level is 1.1902 states/eV per atom. The calculation puts the total energy at -4.094 eV/atom. The space-group type is Cmmm.

Cell: 7.443 7.806 7.443 Å, 90.00 109.09 90.00°
Fractional positions:
Ac 0.000 0.275 0.500
Ac 0.500 0.725 0.000
Ac 0.000 0.725 0.500
Ac 0.500 0.275 0.000
Ac 0.000 0.000 0.000
Ac 0.500 0.736 0.500
Ac 0.500 0.264 0.500
Al 0.845 0.500 0.845
Al 0.155 0.500 0.155
Au 0.710 0.000 0.290
Au 0.290 0.000 0.710

***

An optimized crystal structure of BeSb2W, computed with PBE-GGA.

As for the uncorrected formation energy: 0.713 eV/atom. The value obtained for the density of states at the Fermi level is 0.5890 states/eV per atom. The calculation puts the total energy at -5.518 eV/atom. The space-group type is C2/m.

Cell: 4.819 4.819 5.127 Å, 86.26 86.26 39.88°
Fractional positions:
Sb 0.972 0.972 0.008
Sb 0.528 0.528 0.492
W 0.250 0.250 0.250
Be 0.750 0.750 0.750

***

An optimized crystal structure of MgBe2PdO, computed with PBE-GGA.

As for the uncorrected formation energy: 0.311 eV/atom. The value obtained for the density of states at the Fermi level is 0.2919 states/eV per atom. The calculation puts the total energy at -3.528 eV/atom. The space-group type is P4/mmm.

Cell: 4.165 4.346 4.165 Å, 90.00 90.00 90.00°
Fractional positions:
Be 0.000 0.000 0.500
Be 0.500 0.000 0.000
Mg 0.500 0.500 0.500
O 0.000 0.500 0.000
Pd 0.000 0.000 0.000

***

An optimized crystal structure of BeFeBr4, computed with PBE-GGA.

As for the uncorrected formation energy: 1.359 eV/atom. The value obtained for the density of states at the Fermi level is 2.2375 states/eV per atom. The calculation puts the total energy at -1.788 eV/atom. The space-group type is F-43m.

Cell: 6.212 6.212 6.212 Å, 60.00 60.00 60.00°
Last column: magnetic moment on the atom in μB.
Fractional positions:
Be 0.000 0.000 0.000  0.09
Fe 0.750 0.750 0.750  3.28
Br 0.873 0.376 0.376  -0.06
Br 0.376 0.376 0.873  -0.06
Br 0.376 0.873 0.376  -0.06
Br 0.376 0.376 0.376  -0.06

***

An optimized crystal structure of Sm6CoNi2, computed with PBE-GGA.

The value obtained for the density of states at the Fermi level is 0.9726 states/eV per atom. The calculation puts the total energy at -5.385 eV/atom. The space-group type is P2_1/c.

Cell: 6.526 7.187 10.131 Å, 90.00 88.68 90.00°
Fractional positions:
Sm 0.155 0.046 0.251
Sm 0.177 0.322 0.576
Sm 0.168 0.321 0.929
Sm 0.332 0.821 0.571
Sm 0.323 0.822 0.924
Sm 0.345 0.546 0.249
Sm 0.845 0.954 0.749
Sm 0.823 0.678 0.424
Sm 0.832 0.679 0.071
Sm 0.668 0.179 0.429
Sm 0.677 0.178 0.076
Sm 0.655 0.454 0.751
Co 0.500 0.500 0.000
Co 0.000 0.000 0.500
Ni 0.058 0.614 0.759
Ni 0.442 0.114 0.741
Ni 0.558 0.886 0.259
Ni 0.942 0.386 0.241